## Sc3BiB (PBE)

Data for a relaxed structure of Sc3BiB.

Output
For the formation energy, the calculation gives -0.355 eV/atom. As for the magnetization: 0.00 μB per formula unit. As for the energy above the most stable polymorph in this dataset: 102 kJ/mol of formula units.

```
Sc3BiB
1.0
12.2031 0.0000 0.2509
4.9949 6.0700 -2.7454
-4.9949 6.0700 2.7454
Sc B Bi
12 4 4
Cartesian
7.7389 6.9426 -0.3789
1.3132 2.0976 -0.0460
15.5606 6.9426 -1.9902
4.7883 8.1677 0.1714
11.0158 3.9120 0.3560
7.2888 9.9820 0.0204
7.4148 3.9724 0.0795
4.9143 2.1580 0.2305
4.4642 5.1974 0.6297
10.8898 10.0424 0.2969
1.1873 8.2281 -0.1051
-3.3576 5.1974 2.2411
6.6548 7.9929 1.5609
5.5482 5.9112 -1.3100
5.5482 4.1471 -1.3100
6.6548 6.2288 1.5609
9.4680 5.0297 -2.1347
2.7350 7.1104 2.3856
10.5746 7.1104 0.7361
1.6284 5.0297 -0.4853
```

***

## Ni2HgSe (PBE)

Data for a relaxed structure of Ni2HgSe.

Output
As for the magnetization: 0.00 μB per formula unit. The uncorrected formation energy comes out at 0.07 eV per formula unit.

```
Ni2HgSe
1.0
3.2059 0.0000 0.0000
0.0000 3.1909 0.0000
0.0000 0.0000 6.7922
Hg Ni Se
1 2 1
Cartesian
1.6029 1.5955 5.6072
0.0000 0.0000 0.2943
1.6029 1.5955 1.6985
0.0000 0.0000 2.5883
```